## YZn2Sn (PBE-GGA)

Data for an optimized crystal structure of YZn2Sn.

Results
The formation energy is -1.088 eV/f.u. The value obtained for the calculated total energy is -42.31 eV for the cell shown. Its density of states at the Fermi level is 0.4163 states/eV per atom.

The structure in CIF format:
```
data_YZn2Sn
_chemical_formula_sum 'Y3 Zn6 Sn3'
_cell_length_a 4.4412
_cell_length_b 4.4412
_cell_length_c 15.4284
_cell_angle_alpha 90.00
_cell_angle_beta 90.00
_cell_angle_gamma 120.00
_space_group_name_H-M_alt 'R -3 m'
_space_group_IT_number 166
_space_group_name_Hall '-R 3 2"'
loop_
_atom_site_label
_atom_site_type_symbol
_atom_site_fract_x
_atom_site_fract_y
_atom_site_fract_z
Y1 Y 0.0000 0.0000 0.0000
Zn1 Zn 0.0000 0.0000 0.2339
Sn1 Sn 0.0000 0.0000 0.5000
```